VASP calculation (PBE) on a relaxed Cd5AgHg4 crystal.

Its total magnetization is 0.000 μB per atom. The energy of formation from the pure elements comes out at 0.3 eV/f.u.

It has space group C2/m (No. 12), with a = 13.213 Å, b = 3.563 Å, c = 10.429 Å, α = 90.00°, β = 108.09° and γ = 90.00°. The inequivalent atoms are Cd at (0.000, 0.000, 0.000), Cd at (0.098, 0.500, 0.795), Cd at (0.192, 0.000, 0.603), Ag at (0.000, 0.500, 0.500), Hg at (0.100, 0.000, 0.308) and Hg at (0.199, 0.500, 0.099).